(1)
PrNbN GGA-PBE optimized geometry; formation energy (no corrections) = -0.527 eV per atom; polymorph energy (0 for the lowest one) = 0 meV/atom; energy = -8.25 eV/atom
1.0
5.7778 0.0000 0.0000
0.0000 3.3338 0.0000
-0.0141 0.0000 5.7267
Pr Nb N
2 2 2
Cartesian
0.0000 0.0000 0.0000
2.8889 1.6669 0.0000
0.9638 1.6669 2.7052
3.8527 0.0000 2.7052
1.9263 0.0000 1.6941
4.8152 1.6669 1.6941

---

(2)
PrNbN3 GGA-PBE optimized geometry; formation energy (no corrections) = -0.759 eV per atom; energy = -8.72 eV/atom
1.0
4.1102 0.0000 0.0000
0.0000 4.1102 0.0000
0.0000 0.0000 4.1102
Pr Nb N
1 1 3
Cartesian
0.0000 0.0000 0.0000
2.0551 2.0551 2.0551
0.0000 2.0551 2.0551
2.0551 0.0000 2.0551
2.0551 2.0551 0.0000

---

(3)
PrNbN2 GGA-PBE optimized geometry; formation energy (no corrections) = -1.007 eV per atom; energy = -8.88 eV/atom
1.0
3.2491 0.0000 0.0000
-1.6246 2.8138 0.0000
0.0000 0.0000 17.9529
Pr Nb N
3 3 6
Cartesian
0.0000 0.0000 0.0000
0.0000 1.8759 11.9686
1.6246 0.9379 5.9843
0.0000 0.0000 14.8067
0.0000 1.8759 8.8224
1.6246 0.9379 2.8381
0.0000 0.0000 7.6027
0.0000 0.0000 10.1497
0.0000 1.8759 1.6184
0.0000 1.8759 4.1654
1.6246 0.9379 13.5870
1.6246 0.9379 16.1340

---

(4)
Pr4NbN5 GGA-PBE optimized geometry; formation energy (no corrections) = -1.217 eV per atom; energy = -8.30 eV/atom
1.0
-3.9588 3.9588 2.6110
3.9588 -3.9588 2.6110
3.9588 3.9588 -2.6110
Pr Nb N
4 1 5
Cartesian
5.5138 0.8413 0.0000
0.8413 2.4038 0.0000
3.1175 1.5550 2.6110
-1.5550 3.1175 2.6110
0.0000 0.0000 2.3216
0.0000 0.0000 0.3995
3.2473 1.8567 -0.0234
2.1021 -0.7115 2.5875
1.8567 4.6703 -0.0234
0.7115 2.1021 2.5875

---

(5)
PrNbN3 GGA-PBE optimized geometry; formation energy (no corrections) = -0.959 eV per atom; energy = -8.92 eV/atom
1.0
6.1289 -1.9785 0.0000
6.1289 1.9785 0.0000
-1.7573 0.0000 6.2546
Pr Nb N
2 2 6
Cartesian
0.9420 0.0000 2.0543
9.5585 0.0000 4.2003
4.0545 0.0000 0.8095
6.4459 0.0000 5.4451
0.3673 0.0000 6.1411
3.4007 0.0000 2.5941
4.3448 0.0000 5.5344
6.1556 0.0000 0.7202
7.0997 0.0000 3.6605
10.1332 0.0000 0.1135

---

(6)
Pr5NbN6 GGA-PBE optimized geometry; formation energy (no corrections) = -1.213 eV per atom; energy = -8.21 eV/atom
1.0
3.1035 -5.3668 0.0000
3.1035 5.3668 0.0000
-2.0622 0.0000 5.8193
Pr Nb N
5 1 6
Cartesian
0.0000 0.0000 0.0000
2.0724 3.5735 2.9096
3.1035 1.7594 0.0000
3.1035 -1.7594 0.0000
2.0724 -3.5735 2.9096
2.0724 0.0000 2.9096
1.1472 1.5907 1.6070
0.1986 0.0000 4.2742
1.1472 -1.5907 1.6070
2.9976 1.5907 4.2122
3.9462 0.0000 1.5451
2.9976 -1.5907 4.2122

---

(7)
PrNbN3 GGA-PBE optimized geometry; formation energy (no corrections) = -0.864 eV per atom; energy = -8.83 eV/atom
1.0
6.0777 -1.6541 0.0000
6.0777 1.6541 0.0000
-3.8469 0.0000 7.1918
Pr Nb N
2 2 6
Cartesian
-0.3681 0.0000 2.5259
8.6766 0.0000 4.6659
2.7241 0.0000 1.3039
5.5844 0.0000 5.8878
-1.6809 0.0000 6.5107
0.8996 0.0000 5.2079
3.6886 0.0000 3.1003
4.6199 0.0000 4.0915
7.4089 0.0000 1.9839
9.9894 0.0000 0.6810

---

(8)
Pr3NbN4 GGA-PBE optimized geometry; formation energy (no corrections) = -1.151 eV per atom; energy = -8.36 eV/atom
1.0
8.1260 0.0000 0.0000
0.0000 6.9194 0.0000
0.0000 0.0000 5.3090
Pr Nb N
6 2 8
Cartesian
0.0000 1.0826 0.0000
1.9947 2.2941 2.6674
2.0683 4.6254 0.0129
4.0630 5.8368 2.6545
6.0577 4.6254 0.0129
6.1313 2.2941 2.6674
0.0000 5.6899 2.4138
4.0630 1.2295 5.0683
0.0000 0.7888 2.6335
0.0000 5.6832 0.4288
1.8208 4.8034 2.6309
2.2422 2.1160 5.2854
4.0630 1.2362 3.0832
4.0630 6.1306 5.2880
5.8838 2.1160 5.2854
6.3052 4.8034 2.6309

---

(9)
PrNbN2 GGA-PBE optimized geometry; formation energy (no corrections) = -1.225 eV per atom; energy = -9.10 eV/atom
1.0
5.8585 0.0000 0.0000
0.0000 3.4285 0.0000
0.0000 0.0000 11.1471
Pr Nb N
4 4 8
Cartesian
0.4969 0.8571 1.5434
2.4323 2.5714 7.1170
3.4262 0.8571 4.0302
5.3615 2.5714 9.6037
0.4785 2.5714 4.3659
2.4508 0.8571 9.9395
3.4077 2.5714 1.2077
5.3800 0.8571 6.7812
0.9515 0.8571 8.3884
1.3113 0.8571 5.4157
1.6179 2.5714 10.9893
1.9777 2.5714 2.8148
3.8807 0.8571 8.3323
4.2405 0.8571 0.1579
4.5472 2.5714 5.7314
4.9070 2.5714 2.7588

---

(10)
Pr2NbN4 GGA-PBE optimized geometry; formation energy (no corrections) = -0.845 eV per atom; energy = -8.41 eV/atom
1.0
6.1354 0.0000 0.0000
0.0000 6.1727 0.0000
-2.1800 0.0000 6.5992
Pr Nb N
4 2 8
Cartesian
0.9653 1.5432 0.1468
0.3149 1.5432 3.6386
3.6405 4.6295 2.9605
2.9901 4.6295 6.4523
-0.0285 4.6295 5.3500
3.9839 1.5432 1.2492
-1.2758 3.1581 4.9399
-1.2758 6.1009 4.9399
2.7387 4.6295 0.6150
2.3190 1.5432 2.2409
1.6364 4.6295 4.3582
1.2167 1.5432 5.9842
5.2312 0.0718 1.6592
5.2312 3.0146 1.6592

---

(11)
PrNb3N6 GGA-PBE optimized geometry; formation energy (no corrections) = -0.874 eV per atom; energy = -9.37 eV/atom
1.0
8.6757 0.0000 0.0000
0.0000 3.2331 0.0000
-2.7046 0.0000 8.6748
Pr Nb N
2 6 12
Cartesian
0.1431 0.8083 1.7523
5.8280 2.4248 6.9225
-0.1787 0.8083 5.1078
0.1106 2.4248 8.6707
3.4286 0.8083 2.8599
2.5425 2.4248 5.8149
5.8606 0.8083 0.0041
6.1498 2.4248 3.5670
-0.4790 2.4248 3.5476
-1.2700 0.8083 8.2684
0.1839 2.4248 6.2531
2.1267 2.4248 2.0248
1.8995 0.8083 4.5909
3.8980 0.8083 0.8636
2.0731 2.4248 7.8112
4.0716 2.4248 4.0839
3.8444 0.8083 6.6500
5.7872 0.8083 2.4217
7.2412 2.4248 0.4064
6.4502 0.8083 5.1272

---

(12)
PrPu2NbN4 GGA-PBE optimized geometry; formation energy (no corrections) = -1.049 eV per atom; energy = -10.65 eV/atom
1.0
1.7174 -6.0163 0.0000
1.7174 6.0163 0.0000
0.0000 0.0000 12.2148
Pr Pu Nb N
2 4 2 8
Cartesian
1.7174 4.7779 9.1611
1.7174 -4.7779 3.0537
1.7174 1.5703 6.5530
1.7174 1.5703 11.7691
1.7174 -1.5703 0.4457
1.7174 -1.5703 5.6617
1.7174 4.1051 3.0537
1.7174 -4.1051 9.1611
0.0000 0.0000 0.0000
0.0000 0.0000 6.1074
1.7174 2.8624 1.4944
1.7174 2.8624 4.6130
1.7174 0.6537 9.1611
1.7174 -0.6537 3.0537
1.7174 -2.8624 7.6018
1.7174 -2.8624 10.7204

---

(13)
PrPuNbN3 GGA-PBE optimized geometry; formation energy (no corrections) = -0.954 eV per atom; energy = -9.98 eV/atom
1.0
7.3423 0.0000 0.0000
0.0000 3.4529 0.0000
-0.5008 0.0000 8.0185
Pr Pu Nb N
2 2 2 6
Cartesian
0.9909 0.8632 1.3741
5.8507 2.5897 6.6445
2.3227 2.5897 6.8004
4.5189 0.8632 1.2181
0.6459 0.8632 4.6552
6.1957 2.5897 3.3633
0.5524 0.8632 6.7616
1.0244 2.5897 3.5312
2.9351 2.5897 0.9201
3.9064 0.8632 7.0984
5.8172 0.8632 4.4873
6.2891 2.5897 1.2569

---

(14)
RbPrNbN3 GGA-PBE optimized geometry; formation energy (no corrections) = -0.478 eV per atom; energy = -7.28 eV/atom
1.0
7.0502 -2.0398 0.0000
7.0502 2.0398 0.0000
-2.1170 0.0000 8.0641
Rb Pr Nb N
2 2 2 6
Cartesian
1.9378 0.0000 0.5303
10.0457 0.0000 7.5338
1.0108 0.0000 4.6900
10.9727 0.0000 3.3741
5.4958 0.0000 5.5512
6.4877 0.0000 2.5129
-0.5385 0.0000 2.6765
3.4661 0.0000 5.0302
4.6319 0.0000 1.8589
7.3516 0.0000 6.2052
8.5174 0.0000 3.0339
12.5219 0.0000 5.3877

---

(15)
PrSm2NbN4 GGA-PBE optimized geometry; formation energy (no corrections) = -1.154 eV per atom; energy = -8.35 eV/atom
1.0
1.7415 -6.1066 0.0000
1.7415 6.1066 0.0000
0.0000 0.0000 12.3954
Pr Sm Nb N
2 4 2 8
Cartesian
1.7415 4.9433 9.2966
1.7415 -4.9433 3.0989
1.7415 1.5859 6.6419
1.7415 1.5859 11.9512
1.7415 -1.5859 0.4442
1.7415 -1.5859 5.7535
1.7415 4.0929 3.0989
1.7415 -4.0929 9.2966
0.0000 0.0000 0.0000
0.0000 0.0000 6.1977
1.7415 2.8948 1.5587
1.7415 2.8948 4.6390
1.7415 0.7464 9.2966
1.7415 -0.7464 3.0989
1.7415 -2.8948 7.7564
1.7415 -2.8948 10.8367

---

(16)
Pr2NbSnN5 GGA-PBE optimized geometry; formation energy (no corrections) = -0.774 eV per atom; energy = -8.02 eV/atom
1.0
1.6846 -7.0772 0.0000
1.6846 7.0772 0.0000
0.0000 0.0000 10.7308
Pr Nb Sn N
4 2 2 10
Cartesian
1.6846 5.4752 5.3654
1.6846 5.1554 0.8735
1.6846 -5.1554 6.2389
1.6846 -5.4752 0.0000
1.6846 3.8715 8.6308
1.6846 -3.8715 3.2654
1.6846 0.3364 2.8675
1.6846 -0.3364 8.2329
1.6846 6.2374 9.2525
1.6846 3.1065 4.6799
1.6846 2.7621 1.9021
1.6846 1.9293 8.5623
1.6846 0.0493 6.2146
1.6846 -0.0493 0.8492
1.6846 -1.9293 3.1969
1.6846 -2.7621 7.2675
1.6846 -3.1065 10.0453
1.6846 -6.2374 3.8871

---

(17)
Sr2PrNbN4 GGA-PBE optimized geometry; formation energy (no corrections) = -0.899 eV per atom; energy = -7.34 eV/atom
1.0
-3.4798 3.5980 5.0509
3.4798 -3.5980 5.0509
3.4798 3.5980 -5.0509
Sr Pr Nb N
4 2 2 8
Cartesian
0.0000 0.0000 0.0000
-1.7399 1.7990 2.5254
0.0000 3.5980 0.0000
1.7399 1.7990 2.5254
3.4798 0.0000 0.0000
0.0000 0.0000 5.0509
1.7399 1.7990 -2.5254
1.7399 -1.7990 2.5254
3.4798 -0.2893 2.4998
1.8049 1.7990 -0.3824
3.4798 3.3087 -2.4998
5.1546 1.7990 -0.3824
-1.6749 1.7990 5.4332
0.0000 0.2893 7.5506
1.6749 1.7990 5.4332
0.0000 3.8873 2.5511

---

(18)
PrTaNbN3 GGA-PBE optimized geometry; formation energy (no corrections) = -1.186 eV per atom; energy = -9.80 eV/atom
1.0
5.7076 0.0000 0.0000
0.0000 3.2258 0.0000
-1.9152 0.0000 8.3027
Pr Ta Nb N
2 2 2 6
Cartesian
0.4473 0.8065 1.5992
3.3451 2.4194 6.7035
0.4695 2.4194 4.5668
3.3229 0.8065 3.7359
0.5257 0.8065 7.1499
3.2667 2.4194 1.1527
-0.8672 0.8065 5.3273
-0.4599 2.4194 8.2150
1.9926 2.4194 2.9866
1.7998 0.8065 5.3161
4.2523 0.8065 0.0876
4.6596 2.4194 2.9753

---

(19)
TbPrNbN3 GGA-PBE optimized geometry; formation energy (no corrections) = -1.052 eV per atom; energy = -8.46 eV/atom
1.0
6.6578 0.0000 0.0000
0.0000 3.3890 0.0000
-0.9089 0.0000 9.5195
Tb Pr Nb N
2 2 2 6
Cartesian
0.9892 0.8473 1.0787
4.7597 2.5418 8.4408
1.2770 2.5418 7.1912
4.4718 0.8473 2.3283
2.0348 2.5418 3.9971
3.7140 0.8473 5.5224
-0.1495 0.8473 8.3266
1.5423 0.8473 5.0805
2.4098 2.5418 2.0253
3.3391 0.8473 7.4942
4.2065 2.5418 4.4390
5.8984 2.5418 1.1929

---

(20)
Pr2NbTcN5 GGA-PBE optimized geometry; formation energy (no corrections) = -0.874 eV per atom; energy = -8.83 eV/atom
1.0
1.6786 -6.7970 0.0000
1.6786 6.7970 0.0000
0.0000 0.0000 10.6237
Pr Nb Tc N
4 2 2 10
Cartesian
1.6786 5.2936 5.3118
1.6786 4.8226 1.0527
1.6786 -4.8226 6.3645
1.6786 -5.2936 0.0000
1.6786 3.7959 8.6514
1.6786 -3.7959 3.3396
1.6786 0.3435 2.7948
1.6786 -0.3435 8.1066
1.6786 6.2001 8.9658
1.6786 2.9319 4.7408
1.6786 2.4338 1.9481
1.6786 1.8561 8.5126
1.6786 0.1342 6.2615
1.6786 -0.1342 0.9497
1.6786 -1.8561 3.2007
1.6786 -2.4338 7.2599
1.6786 -2.9319 10.0526
1.6786 -6.2001 3.6540